Record 1
NiRh3 after structural relaxation, computed with PBE.

Results
V	13.53	A^3/atom
E_form	42	meV per atom
final energy	-6.92	eV per atom

Cell lengths 4.6243, 4.6243, 10.6981 Å; angles 150.05, 150.05, 33.96 degrees
Last column: magnetic moment on the atom in μB.
Fractional positions:
Ni (0.0000, 0.0000, 0.0000)  0.24
Rh (0.9932, 0.9932, 0.2456)  0.03
Rh (0.0068, 0.0068, 0.7544)  0.03
Rh (0.0000, 0.0000, 0.5000)  0.05


Record 2
BaNiAg after structural relaxation, computed with PBE.

Results
V	26.88	A^3/atom
E_form	17	meV per atom
final energy	-3.50	eV per atom

Cell lengths 4.5068, 4.5068, 4.5849 Å; angles 90.00, 90.00, 120.00 degrees
Fractional positions:
Ag (0.0000, 0.0000, 0.8331)
Ni (0.3333, 0.6667, 0.8337)
Ba (0.6667, 0.3333, 0.3331)


Record 3
HoSn5Rh3 after structural relaxation, computed with PBE.

Results
V	24.94	A^3/atom
E_form	-396	meV per atom
final energy	-5.58	eV per atom

Cell lengths 7.3650, 7.3650, 9.8413 Å; angles 66.72, 66.72, 76.94 degrees
Fractional positions:
Sn (0.5825, 0.5825, 0.6476)
Sn (0.2976, 0.7024, 0.0000)
Ho (0.0957, 0.0957, 0.6976)
Sn (0.9407, 0.3828, 0.3445)
Rh (0.0000, 0.0000, 0.5000)
Sn (0.3828, 0.9407, 0.3445)
Rh (0.6460, 0.6460, 0.3489)
Sn (0.7024, 0.2976, 0.0000)
Ho (0.9043, 0.9043, 0.3024)
Sn (0.4175, 0.4175, 0.3524)
Sn (0.0593, 0.6172, 0.6555)
Sn (0.2439, 0.2439, 0.9589)
Rh (0.6917, 0.6917, 0.8238)
Sn (0.7561, 0.7561, 0.0411)
Rh (0.0000, 0.0000, 0.0000)
Sn (0.6172, 0.0593, 0.6555)
Rh (0.3083, 0.3083, 0.1762)
Rh (0.3540, 0.3540, 0.6511)


Record 4
Th4OsBr5 after structural relaxation, computed with PBE.

Results
V	31.79	A^3/atom
formation energy without anion corrections	-1.194	eV/atom
final energy	-6.12	eV per atom

Cell lengths 3.9051, 9.0893, 9.2675 Å; angles 98.41, 102.16, 90.00 degrees
Fractional positions:
Br (0.8330, 0.6868, 0.6661)
Th (0.0011, 0.2120, 0.0022)
Th (0.6684, 0.0477, 0.3368)
Th (0.9989, 0.7880, 0.9978)
Br (0.1670, 0.3132, 0.3339)
Br (0.5000, 0.5000, 0.0000)
Os (0.5000, 0.0000, 0.0000)
Br (0.8327, 0.2208, 0.6654)
Br (0.1673, 0.7792, 0.3346)
Th (0.3316, 0.9523, 0.6632)


Record 5
SrInPdPt after structural relaxation, computed with PBE.

Results
V	24.26	A^3/atom
E_form	-677	meV per atom
final energy	-4.59	eV per atom

Cell lengths 4.6690, 4.6700, 5.7976 Å; angles 113.64, 90.00, 119.99 degrees
Fractional positions:
Pt (0.8164, 0.6329, 0.0918)
Sr (0.6151, 0.2303, 0.4874)
In (0.1191, 0.2382, 0.9995)
Pd (0.4156, 0.8312, 0.8887)


Record 6
NaCeMg17 after structural relaxation, computed with PBE.

Results
V	24.89	A^3/atom
E_form	26	meV per atom
final energy	-1.78	eV per atom

Cell lengths 7.8568, 7.8568, 7.8568 Å; angles 82.29, 82.29, 82.29 degrees
Last column: magnetic moment on the atom in μB.
Fractional positions:
Mg (0.6497, 0.1608, 0.6497)  0.00
Mg (0.5057, 0.9915, 0.9915)  0.00
Mg (0.9992, 0.6978, 0.3007)  0.00
Mg (0.3007, 0.9992, 0.6978)  0.00
Mg (0.6978, 0.3007, 0.9992)  0.00
Mg (0.9012, 0.9012, 0.9012)  0.00
Mg (0.3500, 0.8472, 0.3500)  0.00
Ce (0.6670, 0.6670, 0.6670)  1.02
Mg (0.3007, 0.6978, 0.9992)  0.00
Mg (0.1608, 0.6497, 0.6497)  0.00
Mg (0.6497, 0.6497, 0.1608)  0.00
Mg (0.8472, 0.3500, 0.3500)  0.00
Mg (0.9992, 0.3007, 0.6978)  0.00
Mg (0.3500, 0.3500, 0.8472)  0.00
Mg (0.6978, 0.9992, 0.3007)  0.00
Mg (0.1001, 0.1001, 0.1001)  0.00
Mg (0.9915, 0.5057, 0.9915)  0.00
Na (0.3401, 0.3401, 0.3401)  0.00
Mg (0.9915, 0.9915, 0.5057)  0.00


Record 7
TaAg2Mo4 after structural relaxation, computed with PBE.

Results
V	21.97	A^3/atom
E_form	1805	meV per atom
final energy	-6.89	eV per atom

Cell lengths 4.7965, 4.7965, 7.4961 Å; angles 71.34, 71.34, 90.00 degrees
Last column: magnetic moment on the atom in μB.
Fractional positions:
Ag (0.6149, 0.6149, 0.7702)  0.04
Mo (0.1860, 0.1860, 0.6280)  2.08
Mo (0.5000, 0.0000, 0.0000)  -0.61
Ag (0.3851, 0.3851, 0.2298)  0.04
Ta (0.0000, 0.0000, 0.0000)  -0.02
Mo (0.8140, 0.8140, 0.3720)  2.08
Mo (0.0000, 0.5000, 0.0000)  -0.61


Record 8
PSeBr2 after structural relaxation, computed with PBE.

Results
V	27.89	A^3/atom
formation energy without anion corrections	0.626	eV/atom
excess energy over the best structure of this formula in the dataset	683	meV/atom
final energy	-2.43	eV per atom

Cell lengths 3.6485, 4.0946, 7.4666 Å; angles 90.00, 90.00, 90.00 degrees
Last column: magnetic moment on the atom in μB.
Fractional positions:
Br (0.5000, 0.0000, 0.5000)  0.00
Br (0.0000, 0.0000, 0.0000)  0.05
P (0.5000, 0.5000, 0.0000)  0.50
Se (0.0000, 0.5000, 0.5000)  0.03


Record 9
TbPuPa2Se4 after structural relaxation, computed with PBE.

Results
V	24.18	A^3/atom
formation energy without anion corrections	-1.421	eV/atom
final energy	-7.91	eV per atom

Cell lengths 3.9816, 6.8870, 7.4206 Å; angles 108.09, 90.00, 90.00 degrees
Last column: magnetic moment on the atom in μB.
Fractional positions:
Tb (0.0000, 0.0000, 0.0000)  0.06
Se (0.0000, 0.7499, 0.2461)  -0.02
Pa (0.0000, 0.5000, 0.5000)  -0.83
Se (0.5000, 0.2472, 0.2461)  0.00
Pu (0.5000, 0.5000, 0.0000)  5.36
Se (0.0000, 0.2501, 0.7539)  -0.02
Pa (0.5000, 0.0000, 0.5000)  -0.79
Se (0.5000, 0.7528, 0.7539)  0.00


Record 10
YCo3H6 after structural relaxation, computed with PBE.

Results
V	7.80	A^3/atom
final energy	-5.00	eV per atom

Cell lengths 4.3783, 4.3784, 5.3376 Å; angles 90.00, 114.21, 120.00 degrees
Last column: magnetic moment on the atom in μB.
Fractional positions:
H (0.5382, 0.4505, 0.2454)  -0.01
H (0.7949, 0.0877, 0.2454)  -0.01
Co (0.3462, 0.6731, 0.0192)  0.60
Co (0.6784, 0.3392, 0.0177)  0.76
H (0.8648, 0.4266, 0.7920)  0.00
H (0.3539, 0.9272, 0.7920)  0.00
H (0.3654, 0.4381, 0.7920)  0.00
Co (0.1393, 0.0697, 0.2090)  0.48
Y (0.7612, 0.8806, 0.6418)  -0.01
H (0.1577, 0.7072, 0.2454)  -0.01


Record 11
VNiOsS2 after structural relaxation, computed with PBE.

Results
V	16.72	A^3/atom
formation energy without anion corrections	1.200	eV/atom
final energy	-5.68	eV per atom

Cell lengths 4.2661, 4.5928, 4.2661 Å; angles 90.00, 90.00, 90.00 degrees
Last column: magnetic moment on the atom in μB.
Fractional positions:
Ni (0.0000, 0.0000, 0.0000)  -0.18
S (0.0000, 0.0000, 0.5000)  -0.04
Os (0.0000, 0.5000, 0.0000)  -1.04
S (0.5000, 0.0000, 0.0000)  -0.04
V (0.5000, 0.5000, 0.5000)  0.02


Record 12
Li2Bi3 after structural relaxation, computed with PBE.

Results
V	28.26	A^3/atom
E_form	-106	meV per atom
excess energy over the best structure of this formula in the dataset	21	meV/atom
final energy	-3.20	eV per atom

Cell lengths 5.3836, 5.3836, 5.3836 Å; angles 74.31, 74.31, 74.31 degrees
Fractional positions:
Li (0.6260, 0.6260, 0.6260)
Bi (0.0000, 0.5000, 0.0000)
Bi (0.0000, 0.0000, 0.5000)
Bi (0.5000, 0.0000, 0.0000)
Li (0.3740, 0.3740, 0.3740)


Q: Which of these has the lowest V?
A: YCo3H6


Q: Among the records above, which one has the lowest V?
A: YCo3H6


Q: Look up the final energy of the twelfth one.
A: -3.20 eV per atom